The following is a DFT calculation (PBE) of a relaxed FeNi2PtC crystal.

Calculated values
Formation energy ... 0.485 eV per formula unit
Total moment ... 0.7267 μB/atom
Calculated total energy ... -6.961 eV/atom

a b c (Å): 3.7989 3.7989 3.9118
angles (deg): 90.00 90.00 90.00
With the nearest neighbours (Å) after each atom.
Element x y z (fractional)
Fe (0.0000, 0.0000, 0.0000)  2 C 1.96
Ni (0.0000, 0.5000, 0.5000)  2 C 1.90
Ni (0.5000, 0.0000, 0.5000)  2 C 1.90
Pt (0.5000, 0.5000, 0.0000)  4 Fe 2.69, 8 Ni 2.73
C (0.0000, 0.0000, 0.5000)  4 Ni 1.90, 2 Fe 1.96

The following is a DFT calculation (PBE) of a relaxed Th2PPbN5 crystal.

Calculated values
Total moment ... 0.0000 μB/atom
Calculated total energy ... -7.912 eV/atom

a b c (Å): 6.8579 6.8579 5.6442
angles (deg): 90.00 90.00 90.00
With the nearest neighbours (Å) after each atom.
Element x y z (fractional)
Th (0.1846, 0.3154, 0.0000)  8 N 2.42-2.67
Th (0.3154, 0.8154, 0.0000)  8 N 2.42-2.67
Th (0.6846, 0.1846, 0.0000)  8 N 2.42-2.67
Th (0.8154, 0.6846, 0.0000)  8 N 2.42-2.67
P (0.0000, 0.5000, 0.5000)  4 N 1.74
P (0.5000, 0.0000, 0.5000)  4 N 1.74
Pb (0.0000, 0.0000, 0.5000)  10 N 2.82-2.99
Pb (0.5000, 0.5000, 0.5000)  10 N 2.82-2.99
N (0.0000, 0.0000, 0.0000)  4 Th 2.51
N (0.1249, 0.6249, 0.2780)  1 P 1.74
N (0.1249, 0.6249, 0.7220)  1 P 1.74
N (0.3751, 0.1249, 0.2780)  1 P 1.74
N (0.3751, 0.1249, 0.7220)  1 P 1.74
N (0.5000, 0.5000, 0.0000)  4 Th 2.51
N (0.6249, 0.8751, 0.2780)  1 P 1.74
N (0.6249, 0.8751, 0.7220)  1 P 1.74
N (0.8751, 0.3751, 0.2780)  1 P 1.74
N (0.8751, 0.3751, 0.7220)  1 P 1.74

The following is a DFT calculation (PBE) of a relaxed Ce2ErSc crystal.

Calculated values
Formation energy ... 0.342 eV per formula unit
Total moment ... 0.2896 μB/atom
Energy above the lowest structure with this stoichiometry ... 0 kJ/mol of formula units
Calculated total energy ... -5.605 eV/atom

a b c (Å): 11.2931 11.2931 11.2931
angles (deg): 17.32 17.32 17.32
With the nearest neighbours (Å) after each atom.
Element x y z (fractional)
Ce (0.2475, 0.2475, 0.2475)  3 Sc 3.34, 6 Ce 3.40, 3 Er 3.47
Ce (0.7525, 0.7525, 0.7525)  3 Sc 3.34, 6 Ce 3.40, 3 Er 3.47
Er (0.0000, 0.0000, 0.0000)  6 Er 3.40, 6 Ce 3.47
Sc (0.5000, 0.5000, 0.5000)  6 Ce 3.34, 6 Sc 3.40

The following is a DFT calculation (PBE) of a relaxed LaNi2 crystal.

Calculated values
Formation energy ... -0.762 eV per formula unit
Total moment ... 0.0000 μB/atom
Calculated total energy ... -5.751 eV/atom

a b c (Å): 6.1216 6.1216 5.0518
angles (deg): 101.74 101.74 37.38
With the nearest neighbours (Å) after each atom.
Element x y z (fractional)
La (0.1096, 0.1096, 0.3212)  6 Ni 2.77-3.08
La (0.8904, 0.8904, 0.6788)  6 Ni 2.77-3.08
Ni (0.2135, 0.2135, 0.8750)  5 Ni 2.39-2.46
Ni (0.4150, 0.4150, 0.1572)  3 Ni 2.45-2.46
Ni (0.5850, 0.5850, 0.8428)  3 Ni 2.45-2.46
Ni (0.7865, 0.7865, 0.1250)  5 Ni 2.39-2.46

no.,DOS at the Fermi energy (states/eV per cell)
1,5.1
2,0.6
3,10.2
4,5.1